First-principles (PBE-GGA) data for BaCrCu2 after structural relaxation, as listed in Alexandria.

space group	F-43m (216)
total magnetic moment	4.9	μB per formula unit
DFT formation energy	741	meV/atom
volume	22.62	Å³/atom

Cell and atoms, written as POSCAR:
```
BaCrCu2
1.0
0.000 3.563 3.563
3.563 0.000 3.563
3.563 3.563 0.000
Ba Cr Cu
1 1 2
Cartesian
0.000 0.000 0.000
1.782 1.782 1.782
3.563 3.563 3.563
5.345 5.345 5.345
```